HfFeBiOs | PBE | relaxed

```
HfFeBiOs
1.0
-0.314 -3.794 -2.667
-3.633 -2.864 0.451
-3.212 -0.225 -3.352
Bi Fe Hf Os
1 1 1 1
direct
0.000 0.000 0.000
0.750 0.750 0.750
0.250 0.250 0.250
0.500 0.500 0.500
```

Results
As for the symmetry: F-43m (216). Its energy above the most stable polymorph in this dataset is 6.93 kcal/mol of atoms. The size of the total moment comes out at 3.4 μB/f.u. For the total energy, the calculation gives -31.62 eV per cell.